No. 1
# GGA-PBE GaAgSn2, optimized geometry
# Formation energy ... 0.08 eV per atom
# Space group ... P4/mmm, No. 123
data_GaAgSn2
_cell_length_a 4.693
_cell_length_b 4.693
_cell_length_c 4.186
_cell_angle_alpha 90.00
_cell_angle_beta 90.00
_cell_angle_gamma 90.00
_symmetry_space_group_name_H-M 'P 1'
_symmetry_Int_Tables_number 1
loop_
_symmetry_equiv_pos_as_xyz
'x,y,z'
loop_
_atom_site_label
_atom_site_fract_x
_atom_site_fract_y
_atom_site_fract_z
_atom_site_occupancy
Ga1 0.000 0.000 0.000 1
Ag1 0.500 0.500 0.000 1
Sn1 0.000 0.500 0.500 1
Sn2 0.500 0.000 0.500 1

=====

No. 2
# GGA-PBE Na2NbF, optimized geometry
# Energy relative to the lowest polymorph listed for this composition ... 0 meV/atom
# Space group ... I-42d, No. 122
# Formation energy without anion corrections ... -0.10 eV/atom
data_Na2NbF
_cell_length_a 6.512
_cell_length_b 6.512
_cell_length_c 6.512
_cell_angle_alpha 117.26
_cell_angle_beta 117.26
_cell_angle_gamma 94.81
_symmetry_space_group_name_H-M 'P 1'
_symmetry_Int_Tables_number 1
loop_
_symmetry_equiv_pos_as_xyz
'x,y,z'
loop_
_atom_site_label
_atom_site_fract_x
_atom_site_fract_y
_atom_site_fract_z
_atom_site_occupancy
Na1 0.375 0.028 0.153 1
Na2 0.778 0.625 0.653 1
Na3 0.875 0.222 0.847 1
Na4 0.972 0.125 0.347 1
Nb1 0.250 0.750 0.500 1
Nb2 0.500 0.500 0.000 1
F1 0.000 0.000 0.000 1
F2 0.750 0.250 0.500 1

=====

No. 3
# GGA-PBE Ru5Cl3, optimized geometry
# Energy relative to the lowest polymorph listed for this composition ... 740 meV/atom
# Space group ... P6_3/mcm, No. 193
# Formation energy without anion corrections ... 1.16 eV/atom
data_Ru5Cl3
_cell_length_a 7.185
_cell_length_b 7.185
_cell_length_c 5.469
_cell_angle_alpha 90.00
_cell_angle_beta 90.00
_cell_angle_gamma 120.00
_symmetry_space_group_name_H-M 'P 1'
_symmetry_Int_Tables_number 1
loop_
_symmetry_equiv_pos_as_xyz
'x,y,z'
loop_
_atom_site_label
_atom_site_fract_x
_atom_site_fract_y
_atom_site_fract_z
_atom_site_occupancy
Ru1 0.000 0.202 0.250 1
Ru2 0.000 0.798 0.750 1
Ru3 0.202 0.000 0.250 1
Ru4 0.202 0.202 0.750 1
Ru5 0.333 0.667 0.000 1
Ru6 0.333 0.667 0.500 1
Ru7 0.667 0.333 0.000 1
Ru8 0.667 0.333 0.500 1
Ru9 0.798 0.000 0.750 1
Ru10 0.798 0.798 0.250 1
Cl1 0.000 0.412 0.750 1
Cl2 0.000 0.588 0.250 1
Cl3 0.412 0.000 0.750 1
Cl4 0.412 0.412 0.250 1
Cl5 0.588 0.000 0.250 1
Cl6 0.588 0.588 0.750 1

=====

Number 1: N(E_F) 0.580 states/eV/atom. Number 2: N(E_F) 0.813 states/eV/atom. Number 3: N(E_F) 1.411 states/eV/atom.